Record 1
The following is a DFT calculation (PBE) of an optimized crystal structure of Na2ZrHgW.

Results
Formation energy from the elements ... 7.6 eV/f.u.
Space group ... No. 123
Electronic total energy ... -3.36 eV per atom

Cell lengths 4.9705, 5.6466, 4.9705 Å; angles 90.00, 90.00, 90.00 degrees
Closest atoms and distances in Å follow each position.
Sites, in units of the cell vectors:
Hg1 0.0000 0.0000 0.0000  4 Na 2.49
Na1 0.0000 0.0000 0.5000  2 Hg 2.49
Na2 0.5000 0.0000 0.0000  2 Hg 2.49
W1 0.5000 0.5000 0.5000  4 Zr 3.51, 8 Na 3.76
Zr1 0.0000 0.5000 0.0000  2 Hg 2.82

=====

Record 2
The following is a DFT calculation (PBE) of an optimized crystal structure of NaYHg4.

Results
Offset from the most stable computed form ... 0.10 eV per formula unit
Formation energy from the elements ... -1.7 eV/f.u.
Space group ... No. 5
Electronic total energy ... -1.78 eV per atom

Cell lengths 6.0513, 6.0508, 4.9958 Å; angles 65.54, 65.55, 89.17 degrees
Closest atoms and distances in Å follow each position.
Sites, in units of the cell vectors:
Na1 0.0010 0.9976 0.4981  12 Hg 3.27-3.42, 2 Y 3.51
Hg1 0.4324 0.0912 0.7358  3 Hg 2.86
Hg2 0.9074 0.5661 0.2605  3 Hg 2.86-2.87
Hg3 0.0958 0.4291 0.7349  3 Hg 2.86
Hg4 0.5695 0.9028 0.2613  3 Hg 2.86-2.87
Y1 0.5017 0.4970 0.9982  12 Hg 3.32-3.37, 2 Na 3.51

=====

Record 3
The following is a DFT calculation (PBE) of an optimized crystal structure of NaY4Hg5.

Results
Formation energy from the elements ... -4.5 eV/f.u.
Space group ... No. 123
Electronic total energy ... -3.31 eV per atom

Cell lengths 3.7207, 3.7207, 18.7555 Å; angles 90.00, 90.00, 90.00 degrees
Closest atoms and distances in Å follow each position.
Sites, in units of the cell vectors:
Na1 0.0000 0.0000 0.0000  8 Hg 3.31
Y1 0.0000 0.0000 0.5994  8 Hg 3.22
Y2 0.0000 0.0000 0.7990  8 Hg 3.16-3.24
Y3 0.0000 0.0000 0.4006  8 Hg 3.22
Y4 0.0000 0.0000 0.2010  8 Hg 3.16-3.24
Hg1 0.5000 0.5000 0.8926  4 Y 3.16, 4 Na 3.31
Hg2 0.5000 0.5000 0.6981  8 Y 3.22-3.24
Hg3 0.5000 0.5000 0.5000  8 Y 3.22
Hg4 0.5000 0.5000 0.3019  8 Y 3.22-3.24
Hg5 0.5000 0.5000 0.1074  4 Y 3.16, 4 Na 3.31

=====

Record 4
The following is a DFT calculation (PBE) of an optimized crystal structure of NaYHg2.

Results
Formation energy from the elements ... -0.3 eV/f.u.
Space group ... No. 122
Electronic total energy ... -2.18 eV per atom

Cell lengths 8.0996, 8.0996, 6.6835 Å; angles 52.70, 52.70, 90.00 degrees
Closest atoms and distances in Å follow each position.
Sites, in units of the cell vectors:
Na1 0.2500 0.7500 0.5000  4 Hg 2.95
Na2 0.5000 0.5000 0.0000  4 Hg 2.95
Hg1 0.8750 0.8674 0.7500  2 Na 2.95, 2 Y 3.03
Hg2 0.3750 0.3826 0.7500  2 Na 2.95, 2 Y 3.03
Hg3 0.1326 0.6250 0.2500  2 Na 2.95, 2 Y 3.03
Hg4 0.6174 0.1250 0.2500  2 Na 2.95, 2 Y 3.03
Y1 0.0000 0.0000 0.0000  4 Hg 3.03
Y2 0.7500 0.2500 0.5000  4 Hg 3.03

=====

Record 5
The following is a DFT calculation (PBE) of an optimized crystal structure of Na5YHg6.

Results
Formation energy from the elements ... -3.2 eV/f.u.
Space group ... No. 10
Electronic total energy ... -1.50 eV per atom

Cell lengths 5.2898, 7.4011, 8.3089 Å; angles 90.00, 71.69, 90.00 degrees
Closest atoms and distances in Å follow each position.
Sites, in units of the cell vectors:
Na1 0.0000 0.5000 0.0000  8 Hg 3.12-3.30
Na2 0.6737 0.0000 0.6532  8 Hg 3.23-3.25, 2 Na 3.58-3.59
Na3 0.3263 0.0000 0.3468  8 Hg 3.23-3.25, 2 Na 3.58-3.59
Na4 0.3336 0.5000 0.3330  8 Hg 3.21-3.29
Na5 0.6664 0.5000 0.6670  8 Hg 3.21-3.29
Y1 0.0000 0.0000 0.0000  8 Hg 3.15-3.16
Hg1 0.5000 0.7675 0.0000  2 Y 3.16, 6 Na 3.23-3.30, 1 Hg 3.44
Hg2 0.8393 0.7456 0.3208  7 Na 3.12-3.28, 1 Y 3.15
Hg3 0.1607 0.7456 0.6792  7 Na 3.12-3.28, 1 Y 3.15
Hg4 0.5000 0.2325 0.0000  2 Y 3.16, 6 Na 3.23-3.30, 1 Hg 3.44
Hg5 0.1607 0.2544 0.6792  7 Na 3.12-3.28, 1 Y 3.15
Hg6 0.8393 0.2544 0.3208  7 Na 3.12-3.28, 1 Y 3.15

=====

Record 6
The following is a DFT calculation (PBE) of an optimized crystal structure of NaYHg2.

Results
Formation energy from the elements ... 0.9 eV/f.u.
Space group ... No. 71
Electronic total energy ... -1.86 eV per atom

Cell lengths 7.0445, 7.0445, 7.0445 Å; angles 153.46, 60.01, 127.25 degrees
Closest atoms and distances in Å follow each position.
Sites, in units of the cell vectors:
Y1 0.5000 0.0000 0.5000  2 Hg 3.05, 2 Y 3.23
Hg1 0.7499 0.0000 0.7499  1 Y 3.05, 1 Na 3.05, 2 Hg 3.23
Hg2 0.2501 0.0000 0.2501  1 Y 3.05, 1 Na 3.05, 2 Hg 3.23
Na1 0.0000 0.0000 0.0000  2 Hg 3.05, 2 Na 3.23